No. 1
Here is a relaxed structure of KTiW2 from the Alexandria database. Energies are from GGA-PBE.

Properties
Its space group is I-42d (122). The volume is 25.51 Å³ per atom. The value obtained for the energy relative to the elements is 1.878 eV/atom. For the energy above the most stable polymorph in this dataset, the calculation gives 35 meV/atom.

Cell lengths 9.9752, 9.9752, 9.9752 Å; angles 153.01, 153.01, 38.54 degrees
Fractional positions:
K 0.0000 0.0000 0.0000
K 0.7500 0.2500 0.5000
Ti 0.2500 0.7500 0.5000
Ti 0.5000 0.5000 0.0000
W 0.2822 0.1250 0.6572
W 0.3750 0.7178 0.8428
W 0.4678 0.6250 0.3428
W 0.8750 0.5322 0.1572

***

No. 2
Here is a relaxed structure of KTi2W from the Alexandria database. Energies are from GGA-PBE.

Properties
Its space group is Fm-3m (225). The volume is 19.23 Å³ per atom. The value obtained for the energy relative to the elements is 1.210 eV/atom. For the energy above the most stable polymorph in this dataset, the calculation gives 0 meV/atom.

Cell lengths 4.7737, 4.7737, 4.7737 Å; angles 60.00, 60.00, 60.00 degrees
Fractional positions:
K 0.0000 0.0000 0.0000
Ti 0.2500 0.2500 0.2500
Ti 0.7500 0.7500 0.7500
W 0.5000 0.5000 0.5000

***

No. 3
Here is a relaxed structure of KTi2W from the Alexandria database. Energies are from GGA-PBE.

Properties
Its space group is I4_1/amd (141). The volume is 36.56 Å³ per atom. The value obtained for the energy relative to the elements is 1.576 eV/atom. For the energy above the most stable polymorph in this dataset, the calculation gives 366 meV/atom.

Cell lengths 8.0959, 8.0959, 8.0959 Å; angles 131.38, 131.38, 71.21 degrees
Fractional positions:
K 0.3750 0.6250 0.7500
K 0.6250 0.3750 0.2500
Ti 0.0000 0.0000 0.0000
Ti 0.0000 0.0000 0.5000
Ti 0.0000 0.5000 0.0000
Ti 0.5000 0.0000 0.5000
W 0.1250 0.8750 0.2500
W 0.8750 0.1250 0.7500

***

In the order shown, the computed magnetization values come out to 0.00 0.00 0.00 μB per cell.